This record from Alexandria via LeMat-Bulk describes Mn2SbMo at its PBEsol-relaxed geometry. The functional is SCAN.

Cell: 3.7998 3.7998 4.7821 Å, 113.41 113.41 90.00°
Closest atoms and distances in Å follow each position.
Fractional positions:
Mo1 0.5000 0.5000 0.0000  8 Mn 2.69-2.74, 4 Sb 2.74
Sb1 0.2500 0.7500 0.5000  8 Mn 2.69-2.74, 4 Mo 2.74
Mn1 0.0000 0.0000 0.0000  4 Mo 2.69, 4 Mn 2.74, 4 Sb 2.74
Mn2 0.7500 0.2500 0.5000  4 Sb 2.69, 4 Mo 2.74, 4 Mn 2.74

**ρ**: 9.5 g/cm³
**Formation energy (no corrections)**: 71 meV/atom

***

This record from Alexandria via LeMat-Bulk describes Mn2SbMo at its PBEsol-relaxed geometry. The functional is SCAN.

Cell: 3.8987 3.8959 4.6496 Å, 114.77 114.79 90.00°
Closest atoms and distances in Å follow each position.
Fractional positions:
Sb1 0.0000 0.5000 0.0000  8 Mn 2.70, 4 Mo 2.76
Mn1 0.7500 0.7500 0.4999  4 Mo 2.70, 4 Sb 2.70, 4 Mn 2.76
Mn2 0.2500 0.2500 0.5001  4 Mo 2.70, 4 Sb 2.70, 4 Mn 2.76
Mo1 0.5000 0.0000 0.0000  8 Mn 2.70, 4 Sb 2.76

**ρ**: 9.6 g/cm³
**Formation energy (no corrections)**: 129 meV/atom

***

This record from Alexandria via LeMat-Bulk describes Mn2SbMo at its PBEsol-relaxed geometry. The functional is SCAN.

Cell: 3.2424 3.2424 5.6281 Å, 90.00 90.00 90.00°
Closest atoms and distances in Å follow each position.
Fractional positions:
Mn1 0.0000 0.0000 0.0223  1 Mo 2.52, 4 Mn 2.61, 4 Sb 2.71
Mn2 0.5000 0.5000 0.2428  4 Mn 2.61, 4 Mo 2.63, 1 Sb 2.69
Sb1 0.5000 0.5000 0.7647  6 Mn 2.69-2.94, 4 Mo 2.83
Mo1 0.0000 0.0000 0.4701  5 Mn 2.52-2.63

**ρ**: 9.2 g/cm³
**Formation energy (no corrections)**: 126 meV/atom

***

This record from Alexandria via LeMat-Bulk describes MnSbMo2 at its PBEsol-relaxed geometry. The functional is SCAN.

Cell: 3.0493 3.0493 8.2584 Å, 79.36 79.36 60.00°
Closest atoms and distances in Å follow each position.
Fractional positions:
Mo1 0.7435 0.7435 0.7694  3 Mo 2.62, 3 Sb 2.86
Mo2 0.9968 0.9968 0.0097  3 Mn 2.51, 3 Mo 2.62
Sb1 0.5033 0.5033 0.4902  3 Mn 2.74, 3 Mo 2.86, 6 Sb 3.05
Mn1 0.2564 0.2564 0.2307  3 Mo 2.51, 3 Sb 2.74

**ρ**: 9.4 g/cm³
**Formation energy (no corrections)**: 401 meV/atom

***

This record from Alexandria via LeMat-Bulk describes TaMn2SbMo at its PBEsol-relaxed geometry. The functional is SCAN.

Cell: 4.5230 4.5230 5.2164 Å, 90.00 90.00 90.00°
Closest atoms and distances in Å follow each position.
Fractional positions:
Mn1 0.0000 0.5000 0.0000  2 Ta 2.26
Mn2 0.5000 0.0000 0.0000  2 Ta 2.26
Sb1 0.0000 0.0000 0.5000  2 Ta 2.61
Mo1 0.5000 0.5000 0.5000  4 Sb 3.20, 8 Mn 3.45
Ta1 0.0000 0.0000 0.0000  4 Mn 2.26

**ρ**: 7.9 g/cm³
**Formation energy (no corrections)**: 1450 meV/atom

***

This record from Alexandria via LeMat-Bulk describes ScMn4Mo at its PBEsol-relaxed geometry. The functional is SCAN.

Cell: 4.7501 4.7501 4.7501 Å, 60.00 60.00 60.00°
Closest atoms and distances in Å follow each position.
Fractional positions:
Sc1 0.0000 0.0000 0.0000  12 Mn 2.79, 4 Mo 2.91
Mn1 0.3750 0.8749 0.3750  6 Mn 2.37-2.38
Mn2 0.3750 0.3750 0.8749  6 Mn 2.37-2.38
Mn3 0.8749 0.3750 0.3750  6 Mn 2.37-2.38
Mn4 0.3750 0.3750 0.3750  6 Mn 2.37-2.38
Mo1 0.7500 0.7500 0.7500  12 Mn 2.78, 4 Sc 2.91

**ρ**: 7.9 g/cm³
**Formation enthalpy at 0 K**: 0.00 eV per atom

***

This record from Alexandria via LeMat-Bulk describes MnMo2Se at its PBEsol-relaxed geometry. The functional is SCAN.

Cell: 2.9535 4.3729 4.3729 Å, 90.00 90.00 90.00°
Closest atoms and distances in Å follow each position.
Fractional positions:
Mn1 0.5000 0.0000 0.0000  8 Mo 2.64, 2 Mn 2.95
Se1 0.5000 0.5000 0.5000  8 Mo 2.64, 2 Se 2.95
Mo1 0.0000 0.0000 0.5000  4 Mn 2.64, 4 Se 2.64, 2 Mo 2.95
Mo2 0.0000 0.5000 0.0000  4 Mn 2.64, 4 Se 2.64, 2 Mo 2.95

**ρ**: 9.6 g/cm³
**Formation energy (no corrections)**: 164 meV/atom

***

This record from Alexandria via LeMat-Bulk describes MnMo2Se at its PBEsol-relaxed geometry. The functional is SCAN.

Cell: 3.6415 3.6415 4.4367 Å, 90.00 90.00 90.00°
Closest atoms and distances in Å follow each position.
Fractional positions:
Mo1 0.5000 0.0000 0.0000  4 Mo 2.57, 4 Se 2.87, 4 Mn 2.87
Mo2 0.0000 0.5000 0.0000  4 Mo 2.57, 4 Mn 2.87, 4 Se 2.87
Mn1 0.0000 0.0000 0.5000  4 Se 2.57, 8 Mo 2.87
Se1 0.5000 0.5000 0.5000  4 Mn 2.57, 8 Mo 2.87

**ρ**: 9.2 g/cm³
**Formation energy (no corrections)**: 301 meV/atom

***

This record from Alexandria via LeMat-Bulk describes MnSiMo2 at its PBEsol-relaxed geometry. The functional is SCAN.

Cell: 3.6454 3.6454 4.8078 Å, 112.28 112.28 90.00°
Closest atoms and distances in Å follow each position.
Fractional positions:
Mo1 0.2500 0.7500 0.5000  4 Mo 2.58, 4 Mn 2.73, 4 Si 2.73
Mo2 0.7500 0.2500 0.5000  4 Mo 2.58, 4 Mn 2.73, 4 Si 2.73
Mn1 0.0000 0.0000 0.0000  4 Si 2.58, 8 Mo 2.73
Si1 0.5000 0.5000 0.0000  4 Mn 2.58, 8 Mo 2.73

**ρ**: 8.5 g/cm³
**Formation energy (no corrections)**: -159 meV/atom

***

This record from Alexandria via LeMat-Bulk describes MnSiMo2 at its PBEsol-relaxed geometry. The functional is SCAN.

Cell: 2.7345 3.9739 4.9820 Å, 90.00 90.00 90.00°
Closest atoms and distances in Å follow each position.
Fractional positions:
Mn1 0.5000 0.5000 0.7276  1 Mo 2.26
Si1 0.0000 0.0000 0.5063  6 Mo 2.42-2.68, 4 Mn 2.65
Mo1 0.0000 0.0000 0.9925  2 Si 2.42-2.56
Mo2 0.5000 0.5000 0.2736  1 Mn 2.26

**ρ**: 8.4 g/cm³
**Formation energy (no corrections)**: 99 meV/atom

***

This record from Alexandria via LeMat-Bulk describes MnSi3Mo at its PBEsol-relaxed geometry. The functional is SCAN.

Cell: 4.6743 4.6743 4.6743 Å, 90.00 90.00 90.00°
Closest atoms and distances in Å follow each position.
Fractional positions:
Si1 0.0000 0.5000 0.0000  2 Mo 2.34
Si2 0.5000 0.0000 0.0000  2 Mo 2.34
Si3 0.0000 0.0000 0.5000  2 Mo 2.34
Mo1 0.0000 0.0000 0.0000  6 Si 2.34
Mn1 0.5000 0.5000 0.5000  12 Si 3.31

**ρ**: 3.8 g/cm³
**Formation energy (no corrections)**: 716 meV/atom

***

This record from Alexandria via LeMat-Bulk describes YMn2SiMo at its PBEsol-relaxed geometry. The functional is SCAN.

Cell: 4.5434 4.5434 5.0208 Å, 90.00 90.00 90.00°
Closest atoms and distances in Å follow each position.
Fractional positions:
Si1 0.0000 0.0000 0.5000  2 Y 2.51
Mo1 0.5000 0.5000 0.5000  4 Si 3.21, 8 Mn 3.39
Mn1 0.5000 0.0000 0.0000  2 Y 2.27
Mn2 0.0000 0.5000 0.0000  2 Y 2.27
Y1 0.0000 0.0000 0.0000  4 Mn 2.27, 2 Si 2.51

**ρ**: 5.2 g/cm³
**Formation energy (no corrections)**: 1881 meV/atom

***

This record from Alexandria via LeMat-Bulk describes SrMnMo2 at its PBEsol-relaxed geometry. The functional is SCAN.

Cell: 2.9230 4.0345 6.7911 Å, 90.00 102.19 90.00°
Closest atoms and distances in Å follow each position.
Fractional positions:
Mo1 0.7385 0.5000 0.1560  1 Mn 2.25
Mo2 0.0129 0.0000 0.9844  2 Mn 2.42, 2 Mo 2.54
Sr1 0.4736 0.0000 0.5131  2 Sr 2.92, 2 Mn 3.18, 1 Mo 3.26
Mn1 0.2751 0.5000 0.8465  3 Mo 2.25-2.42

**ρ**: 7.1 g/cm³
**Offset from the most stable computed form**: 0.0 meV per atom
**Formation enthalpy at 0 K**: 0.72 eV per atom

***

This record from Alexandria via LeMat-Bulk describes SrMnMo2 at its PBEsol-relaxed geometry. The functional is SCAN.

Cell: 2.9928 5.0052 5.5262 Å, 116.93 105.71 90.00°
Closest atoms and distances in Å follow each position.
Fractional positions:
Mo1 0.7309 0.2309 0.4619  4 Mo 2.91-2.99, 4 Mn 2.96, 4 Sr 3.08-3.20
Mo2 0.9656 0.9656 0.9312  2 Mn 2.26
Sr1 0.5180 0.5180 0.0359  2 Mn 2.92, 8 Mo 2.96-3.20, 2 Sr 2.99
Mn1 0.2855 0.7855 0.5710  2 Mo 2.26

**ρ**: 7.9 g/cm³
**Offset from the most stable computed form**: 404.7 meV per atom
**Formation enthalpy at 0 K**: 1.13 eV per atom

***

This record from Alexandria via LeMat-Bulk describes SrMnMo2 at its PBEsol-relaxed geometry. The functional is SCAN.

Cell: 2.9497 2.9497 9.4245 Å, 81.00 81.00 60.00°
Closest atoms and distances in Å follow each position.
Fractional positions:
Mo1 0.2686 0.2686 0.1942  3 Mn 2.48
Mo2 0.7314 0.7314 0.8058  3 Mn 2.48
Mn1 0.0000 0.0000 0.0000  6 Mo 2.48
Sr1 0.5000 0.5000 0.5000  6 Sr 2.95

**ρ**: 8.0 g/cm³
**Offset from the most stable computed form**: 306.4 meV per atom
**Formation enthalpy at 0 K**: 1.03 eV per atom

***

One value per record, in order, for total DFT energy (no corrections): -108.37; -108.14; -108.15; -123.68; -167.99; -122.16; -107.45; -106.90; -98.68; -97.65; -79.61; -99.85; -107.42; -105.80; -106.19 eV per formula unit.
One value per record, in order, for Fermi-level density of states: 1.9; 3.1; 2.6; 3.1; 2.7; 5.7; 2.9; 2.3; 1.6; 1.9; 1.6; 3.2; 4.1; 3.2; 3.6 states/eV/f.u..